# 1
LiCu2PO4 PBE relaxed; formation energy from raw total energies = -1511 meV/atom; size of the total moment = 0.000 μB/atom; ΔE to the lowest computed polymorph = 9 meV/atom; final energy = -0.43579 Ry per atom; symmetry = P1 (1)
1.0
5.172 0.000 0.000
0.082 5.518 0.000
0.047 0.120 6.262
Li Cu P O
2 4 2 8
direct
0.000 0.000 0.000 Li
0.015 0.526 0.238 Li
0.092 0.488 0.682 Cu
0.476 0.226 0.306 Cu
0.509 0.221 0.733 Cu
0.559 0.610 0.517 Cu
0.510 0.702 0.009 P
0.995 0.017 0.493 P
0.082 0.167 0.291 O
0.086 0.133 0.707 O
0.109 0.757 0.477 O
0.212 0.687 0.005 O
0.607 0.967 0.003 O
0.626 0.563 0.211 O
0.637 0.559 0.820 O
0.694 0.000 0.500 O


# 2
LiIr2Os2 PBE relaxed; size of the total moment = 0.000 μB/atom; ΔE to the lowest computed polymorph = 60 meV/atom; final energy = -0.60311 Ry per atom; symmetry = P4/mbm (127)
1.0
7.635 0.000 0.000
0.000 7.635 0.000
0.000 0.000 2.701
Li Ir Os
2 4 4
direct
0.000 0.000 0.000 Li
0.500 0.500 0.000 Li
0.123 0.377 0.000 Ir
0.377 0.877 0.000 Ir
0.623 0.123 0.000 Ir
0.877 0.623 0.000 Ir
0.174 0.674 0.500 Os
0.326 0.174 0.500 Os
0.674 0.826 0.500 Os
0.826 0.326 0.500 Os


# 3
Ba2LiAlO4 PBE relaxed; formation energy from raw total energies = -2511 meV/atom; size of the total moment = 0.000 μB/atom; final energy = -0.45406 Ry per atom; symmetry = I-4 (82)
1.0
-2.901 2.901 3.752
2.901 -2.901 3.752
2.901 2.901 -3.752
Ba Li Al O
2 1 1 4
direct
0.000 0.000 0.000 Ba
0.750 0.250 0.500 Ba
0.250 0.750 0.500 Li
0.500 0.500 0.000 Al
0.228 0.154 0.630 O
0.402 0.772 0.926 O
0.524 0.598 0.370 O
0.846 0.476 0.074 O


# 4
Th3Sn2C PBE relaxed; size of the total moment = 0.000 μB/atom; final energy = -0.50954 Ry per atom; symmetry = C2/c (15)
1.0
7.428 -3.169 0.000
7.428 3.169 0.000
-1.538 0.000 6.957
Th Sn C
6 4 2
direct
0.051 0.949 0.750 Th
0.319 0.438 0.406 Th
0.438 0.319 0.906 Th
0.562 0.681 0.094 Th
0.681 0.562 0.594 Th
0.949 0.051 0.250 Th
0.117 0.256 0.056 Sn
0.256 0.117 0.556 Sn
0.744 0.883 0.444 Sn
0.883 0.744 0.944 Sn
0.435 0.565 0.750 C
0.565 0.435 0.250 C


# 5
Er2Ti2O7 PBE relaxed; formation energy from raw total energies = -3336 meV/atom; size of the total moment = 0.000 μB/atom; final energy = -0.64358 Ry per atom; symmetry = Fd-3m (227)
1.0
0.000 5.059 5.059
5.059 0.000 5.059
5.059 5.059 0.000
Er Ti O
4 4 14
direct
0.000 0.000 0.000 Er
0.000 0.000 0.500 Er
0.000 0.500 0.000 Er
0.500 0.000 0.000 Er
0.000 0.500 0.500 Ti
0.500 0.000 0.500 Ti
0.500 0.500 0.000 Ti
0.500 0.500 0.500 Ti
0.125 0.125 0.125 O
0.168 0.168 0.582 O
0.168 0.582 0.168 O
0.168 0.582 0.582 O
0.418 0.418 0.832 O
0.418 0.832 0.418 O
0.418 0.832 0.832 O
0.582 0.168 0.168 O
0.582 0.168 0.582 O
0.582 0.582 0.168 O
0.832 0.418 0.418 O
0.832 0.418 0.832 O
0.832 0.832 0.418 O
0.875 0.875 0.875 O


# 6
LaAgH2 PBE relaxed; size of the total moment = 0.000 μB/atom; ΔE to the lowest computed polymorph = 180 meV/atom; final energy = -0.27323 Ry per atom; symmetry = I-42d (122)
1.0
-2.365 2.365 5.471
2.365 -2.365 5.471
2.365 2.365 -5.471
La Ag H
2 2 4
direct
0.000 0.000 0.000 La
0.750 0.250 0.500 La
0.250 0.750 0.500 Ag
0.500 0.500 0.000 Ag
0.212 0.625 0.087 H
0.375 0.462 0.587 H
0.538 0.125 0.913 H
0.875 0.788 0.413 H